Record 1
Tb2ErReO8 GGA-PBE optimized geometry; total magnetization = 0.00 μB/cell; mass density = 7.7 g/cm3; crystal system = orthorhombic; energy relative to the elements, uncorrected = -2.787 eV per atom
1.0
-0.224 -3.097 3.993
4.116 2.256 1.884
-3.911 4.440 3.224
Tb Er Re O
2 1 1 8
Direct
0.500 0.500 0.748
0.500 0.500 0.252
0.000 0.000 0.500
0.000 0.000 0.000
0.180 0.820 0.208
0.733 0.733 0.000
0.820 0.180 0.208
0.820 0.180 0.792
0.267 0.267 0.000
0.180 0.820 0.792
0.696 0.696 0.500
0.304 0.304 0.500


Record 2
ErTl2Re3O12 GGA-PBE optimized geometry; total magnetization = 0.79 μB/cell; mass density = 7.4 g/cm3; crystal system = trigonal; energy relative to the elements, uncorrected = -1.708 eV per atom
1.0
-3.974 -4.528 4.595
3.336 -3.934 5.550
-1.094 1.725 7.297
Er Tl Re O
1 2 3 12
Direct
0.000 0.000 0.000
0.657 0.657 0.657
0.343 0.343 0.343
0.500 0.000 0.000
0.000 0.500 0.000
0.000 0.000 0.500
0.302 0.302 0.933
0.927 0.927 0.353
0.353 0.927 0.927
0.933 0.302 0.302
0.927 0.353 0.927
0.302 0.933 0.302
0.698 0.698 0.067
0.073 0.073 0.647
0.647 0.073 0.073
0.067 0.698 0.698
0.073 0.647 0.073
0.698 0.067 0.698


Record 3
Er2TlReO8 GGA-PBE optimized geometry; total magnetization = 0.00 μB/cell; mass density = 8.4 g/cm3; crystal system = orthorhombic; energy relative to the elements, uncorrected = -2.221 eV per atom
1.0
-4.325 1.640 -1.622
-1.587 -0.308 4.626
2.072 6.604 1.152
Er Tl Re O
2 1 1 8
Direct
0.500 0.500 0.755
0.500 0.500 0.245
0.000 0.000 0.500
0.000 0.000 0.000
0.185 0.814 0.194
0.717 0.717 0.000
0.815 0.186 0.194
0.815 0.186 0.806
0.283 0.283 0.000
0.185 0.814 0.806
0.697 0.698 0.500
0.303 0.302 0.500


Record 4
ErTlRe2O8 GGA-PBE optimized geometry; total magnetization = 2.01 μB/cell; mass density = 5.9 g/cm3; crystal system = trigonal; energy relative to the elements, uncorrected = -1.846 eV per atom
1.0
6.030 0.000 0.000
-3.015 5.222 0.000
0.000 0.000 7.732
Er Tl Re O
1 1 2 8
Direct
0.000 0.000 0.500
0.000 0.000 0.000
0.667 0.333 0.247
0.333 0.667 0.753
0.333 0.667 0.981
0.340 0.172 0.326
0.828 0.168 0.326
0.667 0.333 0.019
0.172 0.832 0.674
0.660 0.828 0.674
0.168 0.340 0.674
0.832 0.660 0.326


Record 5
ErTl2ReO6 GGA-PBE optimized geometry; total magnetization = 0.00 μB/cell; mass density = 6.7 g/cm3; crystal system = trigonal; energy relative to the elements, uncorrected = -1.692 eV per atom
1.0
5.768 0.000 0.000
0.000 6.549 0.000
0.000 -3.274 5.671
Er Tl Re O
1 2 1 6
Direct
0.500 0.000 0.000
0.025 0.333 0.667
0.975 0.667 0.333
0.000 0.000 0.000
0.796 0.133 0.266
0.796 0.133 0.867
0.796 0.734 0.867
0.204 0.867 0.133
0.204 0.266 0.133
0.204 0.867 0.734


Record 6
ErTm2ReO8 GGA-PBE optimized geometry; total magnetization = 0.00 μB/cell; mass density = 8.2 g/cm3; crystal system = orthorhombic; energy relative to the elements, uncorrected = -2.836 eV per atom
1.0
4.987 -0.043 -0.003
-0.020 4.985 -0.006
0.004 0.007 6.659
Er Tm Re O
1 2 1 8
Direct
0.000 0.000 0.500
0.500 0.500 0.747
0.500 0.500 0.253
0.000 0.000 0.000
0.183 0.816 0.209
0.728 0.729 0.000
0.817 0.184 0.209
0.817 0.184 0.791
0.272 0.271 0.000
0.183 0.816 0.791
0.693 0.693 0.500
0.307 0.307 0.500


Q: Which value of energy relative to the elements, uncorrected does entry 1 give?
A: -2.787 eV per atom


Q: What is the energy relative to the elements, uncorrected in the fourth record?
A: -1.846 eV per atom


Q: Among the records above, which one has the lowest mass density?
A: ErTlRe2O8